This record from Alexandria via LeMat-Bulk describes a geometry-optimized CaFeCuF6 structure. The functional is PBE with a Hubbard U.

Its theoretical density is 3.73 Mg/m³. For the raw total energy, the calculation gives -0.3792 Ry per atom. The total magnetization comes out at 10.00 μB/cell.

Geometry as CIF:
```
data_CaFeCuF6
_chemical_formula_sum 'Ca2 Fe2 Cu2 F12'
_symmetry_space_group_name_H-M 'P 1'
_symmetry_Int_Tables_number 1
_symmetry_space_group_name_Hall 'P 1'
_cell_length_a 4.9193
_cell_length_b 4.9193
_cell_length_c 10.0736
_cell_angle_alpha 90.00
_cell_angle_beta 90.00
_cell_angle_gamma 90.00
loop_
_atom_site_label
_atom_site_fract_x
_atom_site_fract_y
_atom_site_fract_z
Ca1 0.5000 0.5000 0.1664
Ca2 0.0000 0.0000 0.6664
Fe1 0.5000 0.5000 0.8337
Fe2 0.0000 0.0000 0.3337
Cu1 0.5000 0.5000 0.4975
Cu2 0.0000 0.0000 0.9975
F1 0.2040 0.7960 0.4876
F2 0.7960 0.2040 0.4876
F3 0.2960 0.2960 0.9876
F4 0.7040 0.7040 0.9876
F5 0.1821 0.8179 0.1749
F6 0.8179 0.1821 0.1749
F7 0.3179 0.3179 0.6749
F8 0.6821 0.6821 0.6749
F9 0.7875 0.2125 0.8387
F10 0.2125 0.7875 0.8387
F11 0.7125 0.7125 0.3387
F12 0.2875 0.2875 0.3387
```